Record 1
# LiNi2Pt

A relaxed structure of LiNi2Pt (PBE, the Alexandria database).

Geometry as POSCAR:
```
LiNi2Pt
1.0
-1.665 8.402 1.665
-4.161 7.516 1.530
-2.809 7.333 3.804
Li Ni Pt
1 2 1
direct
0.750 0.750 0.750
0.001 0.001 0.001
0.499 0.499 0.499
0.250 0.250 0.250
```

Results
For the total energy, the calculation gives -4.878 eV/atom. The energy of formation from the pure elements is 0.00 eV per atom. The calculation puts the density of states at the Fermi level at 4.6 states/eV/f.u. The volume comes out at 13.1 Å³/atom. Its symmetry is R-3m, No. 166.

***

Record 2
# CdHg2SeS2

A relaxed structure of CdHg2SeS2 (PBE, the Alexandria database).

Geometry as POSCAR:
```
CdHg2SeS2
1.0
-1.733 2.425 6.340
-7.187 -0.960 -1.598
3.866 -5.491 3.158
Cd Hg Se S
2 4 2 4
direct
0.297 0.822 0.000
0.797 0.178 0.000
0.813 0.833 0.342
0.813 0.491 0.658
0.313 0.509 0.342
0.313 0.167 0.658
0.681 0.833 0.000
0.181 0.167 0.000
0.185 0.833 0.335
0.185 0.499 0.665
0.685 0.167 0.665
0.685 0.501 0.335
```

Results
For the total energy, the calculation gives -2.515 eV/atom. For the energy relative to the elements, uncorrected, the calculation gives -0.306 eV/atom. The calculation puts the density of states at the Fermi level at 0.7 states/eV/f.u. The volume comes out at 27.9 Å³/atom. Its symmetry is Cmc2_1, No. 36.

***

> Look up the density of states at the Fermi level of the second one.

0.7 states/eV/f.u.

***

> Number 1 is which compound?

LiNi2Pt

***

> Number 2 is which compound?

CdHg2SeS2